[1]
Mn2FeCl | PBE | optimized geometry

Properties
Formation energy from raw total energies, kJ/mol of atoms: 21
Magnetization, μB/f.u.: 8.993
Excess energy over the best structure of this formula in the dataset, eV/atom: 0.061

Cell and atoms, written as POSCAR:
```
Mn2FeCl
1.0
1.5071 0.8701 7.4770
-1.5071 0.8701 7.4770
0.0000 -1.7402 7.4770
Mn Fe Cl
2 1 1
direct
0.2458 0.2458 0.2458
0.7542 0.7542 0.7542
0.5000 0.5000 0.5000
0.0000 0.0000 0.0000
```



[2]
Mn2FeCl | PBE | optimized geometry

Properties
Formation energy from raw total energies, kJ/mol of atoms: 49
Magnetization, μB/f.u.: 10.345
Excess energy over the best structure of this formula in the dataset, eV/atom: 0.352

Cell and atoms, written as POSCAR:
```
Mn2FeCl
1.0
2.8255 -3.7013 0.0000
2.8255 3.7013 0.0000
0.0000 0.0000 2.8487
Mn Fe Cl
2 1 1
direct
0.0000 0.5000 0.0000
0.5000 0.0000 0.0000
0.0000 0.0000 0.5000
0.5000 0.5000 0.5000
```



[3]
Mn2FeCl | PBE | optimized geometry

Properties
Formation energy from raw total energies, kJ/mol of atoms: 50
Magnetization, μB/f.u.: 3.910
Excess energy over the best structure of this formula in the dataset, eV/atom: 0.368

Cell and atoms, written as POSCAR:
```
Mn2FeCl
1.0
4.1389 -1.4076 0.0000
4.1389 1.4076 0.0000
-0.1502 0.0000 4.8523
Mn Fe Cl
2 1 1
direct
0.0000 0.0000 0.0000
0.7093 0.7093 0.7197
0.4403 0.4403 0.5394
0.2758 0.2758 0.1620
```



- What is the magnetization in the third record?
  3.910 μB/f.u.